# 1
Entry from Alexandria via LeMat-Bulk: a relaxed TbTm2Cd crystal (PBE-GGA).

Uncorrected energy = -14.74 eV/cell
D(E_F) = 5.83 states/eV/f.u.
Excess energy over the best structure of this formula in the dataset = 0.34 eV/f.u.
Formation enthalpy at 0 K = -0.063 eV/atom

Cell and atoms, written as POSCAR:
```
TbTm2Cd
1.0
1.7845 1.0303 10.6070
-1.7845 1.0303 10.6070
0.0000 -2.0606 10.6070
Tb Tm Cd
1 2 1
Direct
0.0000 0.0000 0.0000 Tb
0.2441 0.2441 0.2441 Tm
0.4226 0.4226 0.4226 Tm
0.8336 0.8336 0.8336 Cd
```

# 2
Entry from Alexandria via LeMat-Bulk: a relaxed LaPr12Sm6 crystal (PBE-GGA).

Uncorrected energy = -83.36 eV/cell
D(E_F) = 31.62 states/eV/f.u.
Excess energy over the best structure of this formula in the dataset = 4.91 eV/f.u.
Formation enthalpy at 0 K = 0.381 eV/atom

Cell and atoms, written as POSCAR:
```
LaPr12Sm6
1.0
7.8932 4.5571 3.3102
-7.8932 4.5571 3.3102
0.0000 -9.1142 3.3102
La Pr Sm
1 12 6
Direct
0.0000 0.0000 0.0000 La
0.1074 0.5000 0.8926 Pr
0.1074 0.8926 0.5000 Pr
0.1788 0.3853 0.3853 Pr
0.3853 0.1788 0.3853 Pr
0.3853 0.3853 0.1788 Pr
0.5000 0.1074 0.8926 Pr
0.5000 0.8926 0.1074 Pr
0.6147 0.6147 0.8212 Pr
0.6147 0.8212 0.6147 Pr
0.8212 0.6147 0.6147 Pr
0.8926 0.1074 0.5000 Pr
0.8926 0.5000 0.1074 Pr
0.2237 0.6731 0.6731 Sm
0.3269 0.3269 0.7763 Sm
0.3269 0.7763 0.3269 Sm
0.6731 0.2237 0.6731 Sm
0.6731 0.6731 0.2237 Sm
0.7763 0.3269 0.3269 Sm
```

# 3
Entry from Alexandria via LeMat-Bulk: a relaxed TbHgTe crystal (PBE-GGA).

Uncorrected energy = -20.92 eV/cell
D(E_F) = 0.76 states/eV/f.u.
Formation energy (no corrections) = -0.796 eV per atom

Cell and atoms, written as POSCAR:
```
TbHgTe
1.0
2.5035 1.4454 8.3448
-2.5035 1.4454 8.3448
0.0000 -2.8908 8.3448
Tb Hg Te
2 2 2
Direct
0.0786 0.0786 0.0786 Tb
0.9214 0.9214 0.9214 Tb
0.3426 0.3426 0.3426 Hg
0.6574 0.6574 0.6574 Hg
0.2125 0.2125 0.2125 Te
0.7875 0.7875 0.7875 Te
```

Size of the total moment (μB per atom)
0.111 0.000 0.000